This record from Alexandria via LeMat-Bulk describes crystalline CaReTe2N at its relaxed geometry. The functional is PBE.

Lattice parameters (Å, degrees): 5.5959 5.5959 3.7848 90.00 90.00 90.00
Closest atoms and distances in Å follow each position.
Fractional positions:
Re  0.0000  0.0000  0.0000  2 N 1.89
Ca  0.5000  0.5000  0.5000  8 Te 3.38
Te  0.0000  0.5000  0.0000  2 Re 2.80
Te  0.5000  0.0000  0.0000  2 Re 2.80
N  0.0000  0.0000  0.5000  2 Re 1.89

Computed properties:
Relative energy among the computed polymorphs: 0 meV per atom
Formation energy (no corrections): -1.2 eV per formula unit
Density of states at the Fermi level: 2.02 states/eV per cell